[1]
Below is a relaxed structure of LiCeVO5, with properties calculated at the GGA+U level.

Cell: 6.0083 6.0083 8.0113 Å, 109.49 109.49 91.58°
With the nearest neighbours (Å) after each atom.
Positions (direct):
Li  0.6836  0.3164  0.7500  3 O 1.96-2.06
Li  0.3164  0.6836  0.2500  3 O 1.96-2.06
Ce  0.0000  0.0000  0.5000  6 O 2.15-2.34
Ce  0.0000  0.0000  0.0000  6 O 2.15-2.34
V  0.3730  0.6270  0.7500  4 O 1.74
V  0.6270  0.3730  0.2500  4 O 1.74
O  0.0893  0.9107  0.2500  1 Li 1.96, 2 Ce 2.15
O  0.2577  0.7423  0.5710  1 V 1.74
O  0.6846  0.6806  0.8414  1 V 1.74
O  0.6806  0.6846  0.3414  1 V 1.74
O  0.9107  0.0893  0.7500  1 Li 1.96, 2 Ce 2.15
O  0.2577  0.7423  0.9290  1 V 1.74
O  0.7423  0.2577  0.4290  1 V 1.74
O  0.3194  0.3154  0.6586  1 V 1.74
O  0.7423  0.2577  0.0710  1 V 1.74
O  0.3154  0.3194  0.1586  1 V 1.74

***

[2]
Below is a relaxed structure of LiCeW2O8, with properties calculated at the GGA+U level.

Cell: 7.1662 7.4773 7.5685 Å, 113.90 115.99 90.92°
With the nearest neighbours (Å) after each atom.
Positions (direct):
O  0.4812  0.8285  0.0060  1 Li 1.99, 2 W 2.08-2.18
O  0.1759  0.6374  0.5593  1 W 1.86
O  0.8172  0.6420  0.1956  1 W 1.85
O  0.8691  0.0114  0.1993  2 W 1.98-2.09
O  0.0345  0.3070  0.0910  1 W 1.83, 1 Li 1.98
O  0.4425  0.5408  0.2456  1 W 1.86
O  0.6150  0.8214  0.7372  2 W 1.95-2.10
O  0.1309  0.9886  0.8007  2 W 1.98-2.09
O  0.5575  0.4592  0.7544  1 W 1.86
O  0.8241  0.3626  0.4407  1 W 1.86
O  0.3850  0.1786  0.2628  2 W 1.95-2.10
O  0.5188  0.1715  0.9940  1 Li 1.99, 2 W 2.08-2.18
O  0.9655  0.6930  0.9090  1 W 1.83, 1 Li 1.98
O  0.7061  0.0047  0.4776  1 W 1.80
O  0.1828  0.3580  0.8044  1 W 1.85
O  0.2939  0.9953  0.5224  1 W 1.80
W  0.2570  0.2917  0.0324  3 O 1.83-1.86
W  0.6502  0.1038  0.2840  4 O 1.80-1.98
W  0.3498  0.8962  0.7160  4 O 1.80-1.98
W  0.7430  0.7083  0.9676  3 O 1.83-1.86
Ce  0.8142  0.7099  0.5315  8 O 2.39-2.63
Ce  0.1858  0.2901  0.4685  8 O 2.39-2.63
Li  0.2646  0.6659  0.0123  3 O 1.98-2.08
Li  0.7354  0.3341  0.9877  3 O 1.98-2.08

***

[3]
Below is a relaxed structure of Li2CeWO6, with properties calculated at the GGA+U level.

Cell: 5.3917 5.7191 7.9468 Å, 90.00 90.03 90.00°
With the nearest neighbours (Å) after each atom.
Positions (direct):
Ce  0.5000  0.0000  0.0000  6 O 2.24-2.27
Ce  0.0000  0.5000  0.5000  6 O 2.24-2.27
Li  0.4960  0.4773  0.7539  3 O 1.99-2.01
Li  0.0040  0.9773  0.7461  3 O 1.99-2.01
Li  0.9960  0.0227  0.2539  3 O 1.99-2.01
Li  0.5040  0.5227  0.2461  3 O 1.99-2.01
O  0.6548  0.2952  0.5657  1 W 1.95, 1 Li 2.01
O  0.3019  0.6671  0.0635  1 W 1.95, 1 Li 1.99
O  0.8452  0.7952  0.9343  1 W 1.95, 1 Li 2.01
O  0.1981  0.1671  0.4365  1 W 1.95, 1 Li 1.99
O  0.6283  0.0394  0.2708  1 W 1.96, 1 Li 1.99
O  0.1283  0.4606  0.7708  1 W 1.96, 1 Li 1.99
O  0.8717  0.5394  0.2292  1 W 1.96, 1 Li 1.99
O  0.3717  0.9606  0.7292  1 W 1.96, 1 Li 1.99
O  0.8019  0.8329  0.5635  1 W 1.95, 1 Li 1.99
O  0.6981  0.3329  0.9365  1 W 1.95, 1 Li 1.99
O  0.3452  0.7048  0.4343  1 W 1.95, 1 Li 2.01
O  0.1548  0.2048  0.0657  1 W 1.95, 1 Li 2.01
W  0.0000  0.5000  0.0000  6 O 1.95-1.96
W  0.5000  0.0000  0.5000  6 O 1.95-1.96

***

Computed E_tot (eV for the cell shown) in order:
-120.401, -180.774, -142.324